VASP calculation (PBE-GGA) on a geometry-optimized Nd12Y7Tl structure.

The value obtained for the mass density is 6.24 g/cm3. The total magnetization is 1.78 μB per formula unit.

It has space group R-3 (No. 148, hexagonal axes), with a = 12.4110 Å, b = 12.4110 Å, c = 15.2985 Å, α = 90.00°, β = 90.00° and γ = 120.00°. Symmetry generates all atoms from Nd at (0.0260, 0.4460, 0.2083), Nd at (0.0590, 0.5905, 0.5854), Y at (0.0000, 0.0000, 0.0000), Y at (0.0471, 0.1836, 0.3055) and Tl at (0.0000, 0.0000, 0.5000).

***

VASP calculation (PBE-GGA) on a geometry-optimized HoErPt6 structure.

The value obtained for the mass density is 18.04 g/cm3. The total magnetization is 0.00 μB per formula unit.

It has space group P4/mmm (No. 123), with a = 4.105 Å, b = 4.105 Å, c = 8.210 Å, α = 90.00°, β = 90.00° and γ = 90.00°. Symmetry generates all atoms from Ho at (0.000, 0.000, 0.000), Er at (0.000, 0.000, 0.500), Pt at (0.000, 0.500, 0.251), Pt at (0.500, 0.500, 0.000) and Pt at (0.500, 0.500, 0.500).

***

| no. | energy of formation from the pure elements (eV/atom) |
| --- | --- |
| 1 | 0.142 |
| 2 | -1.064 |